[1]
# MoPtC (GGA-PBE, optimized geometry)
# DFT total energy = -0.6294 Ry per atom
# calculated formation energy = 0.136 eV per atom
data_MoPtC
_chemical_formula_sum 'Mo2 Pt2 C2'
_symmetry_space_group_name_H-M 'A m m 2'
_symmetry_Int_Tables_number 38
_cell_length_a 2.8554
_cell_length_b 2.8252
_cell_length_c 9.2476
_cell_angle_alpha 90.00
_cell_angle_beta 90.00
_cell_angle_gamma 90.00
loop_
_symmetry_equiv_pos_as_xyz
'x,y,z'
'-x,-y,z'
'-x,y,z'
'x,-y,z'
'x,y+1/2,z+1/2'
'-x,-y+1/2,z+1/2'
'-x,y+1/2,z+1/2'
'x,-y+1/2,z+1/2'
loop_
_atom_site_label
_atom_site_fract_x
_atom_site_fract_y
_atom_site_fract_z
Mo1 0.0000 0.0000 0.0000
Pt1 0.5000 0.0000 0.2736
C1 0.5000 0.0000 0.5829

=====

[2]
# Tc2GeTe2 (GGA-PBE, optimized geometry)
# formation energy from raw total energies = 0.516 eV/atom
# DFT total energy = -0.4271 Ry per atom
data_Tc2GeTe2
_chemical_formula_sum 'Tc4 Ge2 Te4'
_symmetry_space_group_name_H-M 'I 4/m m m'
_symmetry_Int_Tables_number 139
_symmetry_space_group_name_Hall '-I 4 2'
_cell_length_a 5.0823
_cell_length_b 5.0823
_cell_length_c 8.6096
_cell_angle_alpha 90.00
_cell_angle_beta 90.00
_cell_angle_gamma 90.00
loop_
_atom_site_label
_atom_site_fract_x
_atom_site_fract_y
_atom_site_fract_z
Tc1 0.0000 0.0000 0.1294
Ge1 0.0000 0.0000 0.5000
Te1 0.0000 0.5000 0.2500

=====

[3]
# PuMnRh2 (GGA-PBE, optimized geometry)
# DFT total energy = -0.7203 Ry per atom
# calculated formation energy = -0.249 eV per atom
data_PuMnRh2
_chemical_formula_sum 'Pu2 Mn2 Rh4'
_symmetry_space_group_name_H-M 'P m m a'
_symmetry_Int_Tables_number 51
_cell_length_a 4.3982
_cell_length_b 3.4706
_cell_length_c 9.0592
_cell_angle_alpha 90.00
_cell_angle_beta 90.00
_cell_angle_gamma 90.00
loop_
_symmetry_equiv_pos_as_xyz
'x,y,z'
'-x,-y,-z'
'-x+1/2,-y,z'
'x+1/2,y,-z'
'x+1/2,-y,-z'
'-x+1/2,y,z'
'-x,y,-z'
'x,-y,z'
loop_
_atom_site_label
_atom_site_fract_x
_atom_site_fract_y
_atom_site_fract_z
Pu1 0.2500 0.0000 0.1349
Mn1 0.2500 0.0000 0.6058
Rh1 0.2500 0.5000 0.3876
Rh2 0.2500 0.5000 0.8430

=====

[4]
# CsInI2O (GGA-PBE, optimized geometry)
# formation energy from raw total energies = -0.057 eV/atom
# DFT total energy = -0.1755 Ry per atom
data_CsInI2O
_chemical_formula_sum 'Cs1 In1 I2 O1'
_symmetry_space_group_name_H-M 'P 4/m m m'
_symmetry_Int_Tables_number 123
_symmetry_space_group_name_Hall '-P 4 2'
_cell_length_a 7.2395
_cell_length_b 7.2395
_cell_length_c 4.4132
_cell_angle_alpha 90.00
_cell_angle_beta 90.00
_cell_angle_gamma 90.00
loop_
_atom_site_label
_atom_site_fract_x
_atom_site_fract_y
_atom_site_fract_z
Cs1 0.0000 0.0000 0.0000
In1 0.5000 0.5000 0.5000
I1 0.0000 0.5000 0.0000
O1 0.0000 0.0000 0.5000

=====

Density of states at the Fermi level / states/eV per cell: 3.8 10.5 21.0 6.1